# HoScTlAg

Crystalline HoScTlAg at its relaxed geometry (GGA-PBE, Alexandria via LeMat-Bulk).

extended XYZ file:
```
4
Lattice="5.114 0.000 0.000 2.557 4.429 0.000 2.557 1.476 4.176" Properties=species:S:1:pos:R:3 pbc="T T T"
Sc 5.114 2.953 2.088
Tl 7.671 4.429 3.132
Ho 0.000 0.000 0.000
Ag 2.557 1.476 1.044
```

Properties
- spin magnetization (μB/f.u.) = 0.093
- formation energy (meV/atom) = -308
- electronic total energy (eV/atom) = -4.339

# ZnFeSe

Crystalline ZnFeSe at its relaxed geometry (GGA-PBE, Alexandria via LeMat-Bulk).

extended XYZ file:
```
3
Lattice="4.024 0.000 0.000 -2.012 3.485 0.000 0.000 0.000 3.552" Properties=species:S:1:pos:R:3 pbc="T T T"
Fe 0.000 0.000 0.585
Se 0.000 2.323 0.599
Zn 2.012 1.162 2.368
```

Properties
- spin magnetization (μB/f.u.) = 2.272
- raw formation energy (eV/atom) = 0.2040
- electronic total energy (eV/atom) = -4.203

# TbY3Pt2

Crystalline TbY3Pt2 at its relaxed geometry (GGA-PBE, Alexandria via LeMat-Bulk).

extended XYZ file:
```
12
Lattice="6.919 0.000 0.000 0.000 7.117 0.000 -3.459 -3.558 6.862" Properties=species:S:1:pos:R:3 pbc="T T T"
Tb 0.000 3.558 0.000
Tb 0.000 0.000 0.000
Y 3.459 1.779 0.000
Y 3.459 5.338 0.000
Y 3.459 -1.779 3.609
Y 0.000 1.779 3.252
Y 0.000 5.338 3.252
Y 3.459 1.779 3.609
Pt 1.465 0.000 4.945
Pt 4.925 0.000 1.917
Pt -1.465 3.558 4.945
Pt 1.994 3.558 1.917
```

Properties
- spin magnetization (μB/f.u.) = 0.000
- formation energy (meV/atom) = -833
- electronic total energy (eV/atom) = -6.850

# CsTi2P3O10F4

Crystalline CsTi2P3O10F4 at its relaxed geometry (GGA-PBE, Alexandria via LeMat-Bulk).

extended XYZ file:
```
40
Lattice="8.529 0.000 0.000 0.000 8.729 -0.185 0.000 0.944 8.876" Properties=species:S:1:pos:R:3 pbc="T T T"
Cs 5.089 5.073 6.564
Cs 3.440 4.601 2.127
Ti 2.176 7.816 4.688
Ti 2.176 2.330 8.441
Ti 6.353 1.857 4.003
Ti 6.353 7.344 0.250
P 7.645 7.397 3.376
P 7.645 1.804 0.877
P 0.884 2.276 5.315
P 0.884 7.870 7.814
P 4.579 0.708 6.657
P 3.950 0.236 2.219
O 3.064 8.171 3.015
O 3.064 1.031 1.238
O 5.465 1.503 5.676
O 5.465 8.643 7.453
O 1.446 0.938 4.883
O 1.446 9.208 8.246
O 7.083 8.736 3.808
O 7.083 0.465 0.445
O 1.197 7.471 6.383
O 1.197 2.675 6.746
O 7.332 2.203 2.309
O 7.332 6.999 1.945
O 0.590 7.202 3.700
O 0.590 1.999 0.553
O 7.938 2.471 4.991
O 7.938 7.675 8.138
O 3.715 8.416 5.709
O 3.715 1.730 7.420
O 4.814 1.258 2.982
O 4.814 7.943 1.271
F 6.887 6.334 4.276
F 6.887 2.868 -0.023
F 1.642 3.340 4.415
F 1.642 6.806 8.714
F 2.855 6.094 4.718
F 2.855 4.052 8.411
F 5.674 3.580 3.973
F 5.674 5.622 0.280
```

Properties
- spin magnetization (μB/f.u.) = 0.000
- raw formation energy (eV/atom) = -2.6957
- electronic total energy (eV/atom) = -7.193

# BaBeP2S8

Crystalline BaBeP2S8 at its relaxed geometry (GGA-PBE, Alexandria via LeMat-Bulk).

extended XYZ file:
```
12
Lattice="5.734 0.000 0.000 -2.867 4.966 0.000 0.000 0.000 9.144" Properties=species:S:1:pos:R:3 pbc="T T T"
Ba 0.000 0.000 0.000
Be 0.000 0.000 4.572
P 2.867 1.655 2.503
P 0.000 3.310 6.642
S 0.000 3.310 8.665
S 0.872 1.569 3.091
S 1.072 4.937 3.091
S 2.867 1.655 0.479
S 1.795 0.029 6.054
S 1.995 3.397 6.054
S 4.811 1.540 6.054
S -1.944 3.426 3.091
```

Properties
- spin magnetization (μB/f.u.) = 1.035
- raw formation energy (eV/atom) = -0.4491
- electronic total energy (eV/atom) = -4.573

# La7PmY2

Crystalline La7PmY2 at its relaxed geometry (GGA-PBE, Alexandria via LeMat-Bulk).

extended XYZ file:
```
10
Lattice="-2.565 -2.409 0.300 7.104 -8.824 -10.121 -3.025 4.968 14.033" Properties=species:S:1:pos:R:3 pbc="T T T"
La 5.162 -6.180 -5.491
La -1.084 2.324 9.403
La -1.312 -0.753 3.526
La 2.825 -5.512 0.686
La 0.724 -3.525 -1.329
La 0.789 -2.740 5.541
La 0.756 -3.133 2.106
Pm 0.000 0.000 0.000
Y 2.830 -5.956 -2.838
Y -1.317 -0.309 7.050
```

Properties
- spin magnetization (μB/f.u.) = 0.000
- formation energy (meV/atom) = 147
- electronic total energy (eV/atom) = -5.070

# Mg6ScAg2

Crystalline Mg6ScAg2 at its relaxed geometry (GGA-PBE, Alexandria via LeMat-Bulk).

extended XYZ file:
```
9
Lattice="4.227 0.000 0.000 0.000 4.227 0.000 0.000 0.000 11.029" Properties=species:S:1:pos:R:3 pbc="T T T"
Mg 0.000 2.114 3.079
Mg 2.114 0.000 3.079
Mg 0.000 2.114 7.951
Mg 2.114 0.000 7.951
Mg 2.114 2.114 5.515
Mg 0.000 0.000 5.515
Sc 0.000 0.000 0.000
Ag 2.114 2.114 1.320
Ag 2.114 2.114 9.709
```

Properties
- spin magnetization (μB/f.u.) = 0.000
- formation energy (meV/atom) = -24
- electronic total energy (eV/atom) = -2.424

# Si3Sb

Crystalline Si3Sb at its relaxed geometry (GGA-PBE, Alexandria via LeMat-Bulk).

extended XYZ file:
```
4
Lattice="-1.558 0.472 -5.034 -5.287 0.018 -0.198 4.102 2.677 2.000" Properties=species:S:1:pos:R:3 pbc="T T T"
Sb 0.211 0.261 -0.252
Si -3.214 0.503 -2.865
Si 0.068 1.941 -2.858
Si -2.381 1.756 -0.886
```

Properties
- spin magnetization (μB/f.u.) = 0.000
- raw formation energy (eV/atom) = 0.5687
- electronic total energy (eV/atom) = -4.529